! Zr3Zn2Au4, relaxed, DFT PBE-GGA; values from VASP
&SYSTEM
  ibrav = 0, nat = 9, ntyp = 3
/
ATOMIC_SPECIES
Zr 91.22 Zr.upf
Zn 65.41 Zn.upf
Au 196.97 Au.upf
CELL_PARAMETERS angstrom
-2.9772 2.6976 2.3569
-2.1285 -4.7211 -1.8878
5.3315 0.0386 6.6907
ATOMIC_POSITIONS angstrom
Zr 0.8842 0.2647 5.4165
Zr 0.0000 0.0000 0.0000
Zr -0.6584 -2.2497 1.7433
Zn -0.7963 0.6020 2.9077
Zn 1.0221 -2.5869 4.2521
Au -2.7228 -0.0830 1.2581
Au 2.9486 -1.9020 5.9017
Au -1.3909 -1.5697 4.6422
Au 1.6167 -0.4153 2.5176
! Total magnetic moment, μB/f.u.: 0.0
! Crystal system: monoclinic
! ΔE_f, eV/f.u.: -4.6

=====

! MgZrCu2, relaxed, DFT PBE-GGA; values from VASP
&SYSTEM
  ibrav = 0, nat = 4, ntyp = 3
/
ATOMIC_SPECIES
Cu 63.55 Cu.upf
Mg 24.30 Mg.upf
Zr 91.22 Zr.upf
CELL_PARAMETERS angstrom
4.5282 0.0053 -0.0036
3.6694 2.6533 -0.0036
0.7406 0.2402 5.6881
ATOMIC_POSITIONS angstrom
Cu 0.7367 0.2389 5.5367
Cu 4.4731 1.4507 2.9918
Mg 6.7036 2.1741 4.2607
Zr 2.2345 0.7247 1.4202
! Total magnetic moment, μB/f.u.: 0.0
! Crystal system: monoclinic
! ΔE_f, eV/f.u.: 0.4

=====

! BRh3Pb, relaxed, DFT PBE-GGA; values from VASP
&SYSTEM
  ibrav = 0, nat = 10, ntyp = 3
/
ATOMIC_SPECIES
Pb 207.20 Pb.upf
B 10.81 B.upf
Rh 102.91 Rh.upf
CELL_PARAMETERS angstrom
-0.8587 3.5609 2.4749
-3.2030 -2.9260 -0.8496
2.1516 -4.4180 7.1032
ATOMIC_POSITIONS angstrom
Pb -0.8079 -4.0772 5.5860
Pb -1.1023 0.2941 3.1425
B 0.0000 0.0000 0.0000
B 1.0758 -2.2090 3.5516
Rh 0.5379 -1.1045 1.7758
Rh 1.6137 -3.3135 5.3274
Rh -2.2725 -1.0699 0.7508
Rh -1.4949 -2.6665 3.3179
Rh -0.4152 -1.1166 5.4106
Rh 0.3623 -2.7132 7.9777
! Total magnetic moment, μB/f.u.: 0.0
! Crystal system: hexagonal
! ΔE_f, eV/f.u.: 1.0

=====

! Ac2CdHgSe5, relaxed, DFT PBE-GGA; values from VASP
&SYSTEM
  ibrav = 0, nat = 18, ntyp = 4
/
ATOMIC_SPECIES
Ac 227.00 Ac.upf
Cd 112.41 Cd.upf
Hg 200.59 Hg.upf
Se 78.96 Se.upf
CELL_PARAMETERS angstrom
4.3440 0.0000 0.0000
-2.1720 9.1207 0.0000
0.0000 0.0000 12.6909
ATOMIC_POSITIONS angstrom
Ac 2.1720 6.6342 10.2014
Ac 0.0000 2.1491 8.7921
Ac 0.0000 2.4866 3.8560
Ac 2.1720 6.9716 2.4467
Cd 2.1720 5.3884 6.4504
Cd 0.0000 3.7323 0.1050
Hg 2.1720 0.6571 12.2046
Hg 0.0000 8.4636 5.8591
Se 0.0000 6.4962 0.0233
Se 2.1720 3.4847 10.8175
Se 0.0000 9.0168 9.7273
Se 0.0000 5.2662 8.4054
Se 2.1720 8.2474 7.2895
Se 2.1720 2.6245 6.3687
Se 0.0000 5.6361 4.4720
Se 2.1720 0.1039 3.3819
Se 2.1720 3.8545 2.0600
Se 0.0000 0.8733 0.9440
! Total magnetic moment, μB/f.u.: 0.0
! Crystal system: orthorhombic
! Formation energy (no corrections), eV/atom: -1.27

=====

! Ti2TlPd, relaxed, DFT PBE-GGA; values from VASP
&SYSTEM
  ibrav = 0, nat = 4, ntyp = 3
/
ATOMIC_SPECIES
Ti 47.87 Ti.upf
Tl 204.38 Tl.upf
Pd 106.42 Pd.upf
CELL_PARAMETERS angstrom
3.8481 0.0000 0.0000
1.9240 3.3325 0.0000
1.9240 1.1108 6.5190
ATOMIC_POSITIONS angstrom
Ti 1.9240 1.1108 5.2403
Ti 1.9240 1.1108 1.2095
Tl 3.8481 2.2217 3.2496
Pd 3.8481 2.2217 0.0791
! Total magnetic moment, μB/f.u.: 0.5
! Crystal system: trigonal
! ΔE_f, eV/f.u.: 0.5

=====

! InSi3Hg, relaxed, DFT PBE-GGA; values from VASP
&SYSTEM
  ibrav = 0, nat = 5, ntyp = 3
/
ATOMIC_SPECIES
Si 28.09 Si.upf
Hg 200.59 Hg.upf
In 114.82 In.upf
CELL_PARAMETERS angstrom
-3.1359 2.7120 -2.9512
-3.4255 0.1321 3.7612
2.0810 4.3042 1.7440
ATOMIC_POSITIONS angstrom
Si -1.7127 0.0661 1.8806
Si 1.0405 2.1521 0.8720
Si -1.5679 1.3560 -1.4756
Hg 0.0000 0.0000 0.0000
In -2.2402 3.5741 1.2770
! Total magnetic moment, μB/f.u.: 0.0
! Crystal system: cubic
! Formation energy (no corrections), eV/atom: 1.17

=====

! Ba2CeOsN4, relaxed, DFT PBE-GGA; values from VASP
&SYSTEM
  ibrav = 0, nat = 8, ntyp = 4
/
ATOMIC_SPECIES
Ba 137.33 Ba.upf
Ce 140.12 Ce.upf
Os 190.23 Os.upf
N 14.01 N.upf
CELL_PARAMETERS angstrom
-0.1845 -5.0649 -2.9023
4.9217 3.0665 -0.6957
0.0571 -0.4896 5.8196
ATOMIC_POSITIONS angstrom
Ba 3.6133 -0.3550 -0.5180
Ba 0.0000 0.0000 0.0000
Ce 1.1810 -2.1330 2.7396
Os 2.4894 1.2885 2.5620
N 1.5721 -2.1842 0.4798
N 1.2915 0.0485 3.4407
N 2.6989 -2.9525 -2.0464
N 4.0261 0.1123 2.5692
! Total magnetic moment, μB/f.u.: 0.6
! Crystal system: tetragonal
! Formation energy (no corrections), eV/atom: -0.49

=====

! Sc2CoSi2, relaxed, DFT PBE-GGA; values from VASP
&SYSTEM
  ibrav = 0, nat = 10, ntyp = 3
/
ATOMIC_SPECIES
Sc 44.96 Sc.upf
Co 58.93 Co.upf
Si 28.09 Si.upf
CELL_PARAMETERS angstrom
2.0398 4.8070 0.1236
-2.0398 4.8070 0.1236
0.0000 2.9805 9.1510
ATOMIC_POSITIONS angstrom
Sc 0.0000 7.8905 3.5101
Sc 0.0000 4.7040 5.8881
Sc 0.0000 0.8131 1.3360
Sc 0.0000 11.7813 8.0622
Co 0.0000 7.4636 0.9921
Co 0.0000 5.1309 8.4061
Si 0.0000 3.6340 1.1476
Si 0.0000 8.9604 8.2506
Si 0.0000 5.0532 3.1934
Si 0.0000 7.5413 6.2048
! Total magnetic moment, μB/f.u.: 0.0
! Crystal system: monoclinic
! Formation energy (no corrections), eV/atom: -0.57

=====

! Ce2PuGe4Ir3, relaxed, DFT PBE-GGA; values from VASP
&SYSTEM
  ibrav = 0, nat = 10, ntyp = 4
/
ATOMIC_SPECIES
Ce 140.12 Ce.upf
Pu 244.00 Pu.upf
Ge 72.64 Ge.upf
Ir 192.22 Ir.upf
CELL_PARAMETERS angstrom
-0.5060 3.7714 1.8929
-3.8340 0.3855 -1.7929
-4.6430 -5.0601 8.8406
ATOMIC_POSITIONS angstrom
Ce -1.3285 0.7136 2.9943
Ce -5.4844 -3.6952 5.8963
Pu -4.4915 -0.4516 4.4703
Ge -2.1700 2.0784 0.0500
Ge 0.0000 0.0000 0.0000
Ge -3.3571 -1.4973 6.8569
Ge -3.4559 -1.4844 2.0337
Ir -2.3215 -2.5300 4.4203
Ir -4.3579 -2.5879 8.7624
Ir -2.4551 -0.3937 0.1282
! Total magnetic moment, μB/f.u.: 5.5
! Crystal system: tetragonal
! ΔE_f, eV/f.u.: -6.3

=====

! NiPbWSe2, relaxed, DFT PBE-GGA; values from VASP
&SYSTEM
  ibrav = 0, nat = 5, ntyp = 4
/
ATOMIC_SPECIES
Pb 207.20 Pb.upf
Ni 58.69 Ni.upf
Se 78.96 Se.upf
W 183.84 W.upf
CELL_PARAMETERS angstrom
5.4210 0.0000 0.0000
0.0000 5.3992 0.0000
0.0000 0.0000 5.4210
ATOMIC_POSITIONS angstrom
Pb 0.0000 0.0000 0.0000
Ni 2.7105 2.6996 2.7105
Se 0.0000 0.0000 2.7105
Se 2.7105 0.0000 0.0000
W 0.0000 2.6996 0.0000
! Total magnetic moment, μB/f.u.: 4.0
! Crystal system: tetragonal
! Formation energy (no corrections), eV/atom: 2.13

=====

! Pm2Nd12Sm, relaxed, DFT PBE-GGA; values from VASP
&SYSTEM
  ibrav = 0, nat = 30, ntyp = 3
/
ATOMIC_SPECIES
Pm 145.00 Pm.upf
Nd 144.24 Nd.upf
Sm 150.36 Sm.upf
CELL_PARAMETERS angstrom
-5.6844 0.4024 -3.8560
-0.9297 -0.4409 6.8033
0.6170 25.1329 1.7133
ATOMIC_POSITIONS angstrom
Pm -2.6770 6.9289 -1.4694
Pm -0.2960 6.6563 3.8704
Pm -0.0130 18.1848 4.6563
Pm -2.3940 18.4574 -0.6835
Nd -2.8131 20.1012 2.8452
Nd 0.4940 20.1204 1.3716
Nd -4.3986 23.2257 3.7756
Nd -1.5927 21.6558 5.6356
Nd 0.2013 8.1988 0.5589
Nd -2.0270 3.0169 4.3546
Nd -4.2733 14.8236 -0.1327
Nd -3.1058 8.1795 2.0325
Nd -1.0737 23.2418 2.3419
Nd -4.9055 1.8494 2.3586
Nd -1.4248 14.0794 1.4342
Nd -4.1012 10.6924 -0.5364
Nd 0.4157 16.9341 1.1544
Nd -1.2652 11.0343 1.7527
Nd -1.6163 1.8718 0.8450
Nd -4.8056 11.0564 2.7031
Nd -4.4985 14.0187 3.4311
Nd 0.1231 5.0125 0.3417
Nd -1.6223 14.4036 5.0750
Nd -2.8913 16.9149 2.6280
Nd -3.9467 22.0776 0.2955
Nd -3.1840 4.9932 1.8153
Nd -1.9974 10.2692 4.9152
Nd -4.4277 3.4385 -0.9646
Sm -2.2257 25.3141 -0.2161
Sm -0.4643 -0.2004 3.4030
! Total magnetic moment, μB/f.u.: 0.0
! Crystal system: orthorhombic
! ΔE_f, eV/f.u.: 2.2

=====

! Sc2TcMo, relaxed, DFT PBE-GGA; values from VASP
&SYSTEM
  ibrav = 0, nat = 4, ntyp = 3
/
ATOMIC_SPECIES
Mo 95.94 Mo.upf
Sc 44.96 Sc.upf
Tc 98.00 Tc.upf
CELL_PARAMETERS angstrom
-2.3261 -0.7356 -1.5823
2.4373 -0.5861 -1.4736
0.1850 -8.6042 3.7278
ATOMIC_POSITIONS angstrom
Mo 0.1900 -6.9106 1.1798
Sc 0.1797 -8.3610 3.6225
Sc 0.1087 -3.1281 -0.4590
Tc 0.0953 -4.4323 1.9203
! Total magnetic moment, μB/f.u.: 0.0
! Crystal system: orthorhombic
! ΔE_f, eV/f.u.: 0.4